Computed, not measured: a relaxed structure of La2YSbC at the PBE level of DFT.

Energy in eV per atom: -6.510
Crystal system: tetragonal
Formation energy from raw total energies in eV/atom: -0.58
M_tot in Bohr magnetons per cell: 0.000

Geometry as CIF:
```
data_La2YSbC
_chemical_formula_sum 'La2 Y1 Sb1 C1'
_symmetry_space_group_name_H-M 'P 4/m m m'
_symmetry_Int_Tables_number 123
_symmetry_space_group_name_Hall '-P 4 2'
_cell_length_a 5.193
_cell_length_b 5.193
_cell_length_c 4.910
_cell_angle_alpha 90.00
_cell_angle_beta 90.00
_cell_angle_gamma 90.00
loop_
_atom_site_label
_atom_site_type_symbol
_atom_site_fract_x
_atom_site_fract_y
_atom_site_fract_z
La1 La 0.000 0.500 0.000
Y1 Y 0.000 0.000 0.500
Sb1 Sb 0.500 0.500 0.500
C1 C 0.000 0.000 0.000
```